A plane-wave DFT calculation with PBE-GGA was carried out for crystalline Ac2AsS4 at its relaxed geometry.

Calculated values
* formation energy without anion corrections: -1.4050 eV/atom
* E_tot: -5.60 eV/atom

Cell lengths 6.234, 6.234, 6.234 Å; angles 113.32, 113.32, 102.02 degrees
Sites, in units of the cell vectors:
Ac  0.250  0.750  0.500
Ac  0.750  0.250  0.500
As  0.000  0.000  0.000
S  0.258  0.258  0.517
S  0.258  0.742  0.000
S  0.742  0.258  0.000
S  0.742  0.742  0.483



A plane-wave DFT calculation with PBE-GGA was carried out for crystalline Ac2AsS at its relaxed geometry.

Calculated values
* formation energy without anion corrections: -1.6524 eV/atom
* energy relative to the lowest polymorph listed for this composition: 2.876 kcal/mol of atoms
* E_tot: -5.90 eV/atom

Cell lengths 8.079, 8.079, 8.079 Å; angles 31.18, 31.18, 31.18 degrees
Sites, in units of the cell vectors:
Ac  0.000  0.000  0.000
Ac  0.174  0.174  0.174
As  0.586  0.586  0.586
S  0.755  0.755  0.755



A plane-wave DFT calculation with PBE-GGA was carried out for crystalline Ac4As2S at its relaxed geometry.

Calculated values
* formation energy without anion corrections: -0.9215 eV/atom
* energy relative to the lowest polymorph listed for this composition: 9.227 kcal/mol of atoms
* E_tot: -5.19 eV/atom

Cell lengths 8.957, 8.957, 8.957 Å; angles 143.55, 143.55, 52.50 degrees
Sites, in units of the cell vectors:
Ac  0.000  0.500  0.500
Ac  0.188  0.188  0.000
Ac  0.500  0.000  0.500
Ac  0.812  0.812  0.000
As  0.377  0.377  0.000
As  0.623  0.623  0.000
S  0.000  0.000  0.000



A plane-wave DFT calculation with PBE-GGA was carried out for crystalline AcAsS at its relaxed geometry.

Calculated values
* formation energy without anion corrections: -1.6228 eV/atom
* energy relative to the lowest polymorph listed for this composition: 0.000 kcal/mol of atoms
* E_tot: -5.92 eV/atom

Cell lengths 18.370, 4.088, 4.215 Å; angles 90.00, 90.00, 90.00 degrees
Sites, in units of the cell vectors:
Ac  0.147  0.250  0.228
Ac  0.353  0.750  0.728
Ac  0.647  0.250  0.272
Ac  0.853  0.750  0.772
As  0.002  0.250  0.693
As  0.498  0.750  0.193
As  0.502  0.250  0.807
As  0.998  0.750  0.307
S  0.186  0.750  0.731
S  0.314  0.250  0.231
S  0.686  0.750  0.769
S  0.814  0.250  0.269



A plane-wave DFT calculation with PBE-GGA was carried out for crystalline Ac8AsS6 at its relaxed geometry.

Calculated values
* formation energy without anion corrections: -1.5130 eV/atom
* E_tot: -5.67 eV/atom

Cell lengths 11.035, 11.035, 4.408 Å; angles 90.00, 90.00, 120.00 degrees
Sites, in units of the cell vectors:
Ac  0.037  0.710  0.258
Ac  0.290  0.326  0.258
Ac  0.326  0.037  0.742
Ac  0.333  0.667  0.749
Ac  0.667  0.333  0.251
Ac  0.674  0.963  0.258
Ac  0.710  0.674  0.742
Ac  0.963  0.290  0.742
As  0.000  0.000  0.500
S  0.132  0.487  0.248
S  0.355  0.868  0.248
S  0.487  0.355  0.752
S  0.513  0.645  0.248
S  0.645  0.132  0.752
S  0.868  0.513  0.752



A plane-wave DFT calculation with PBE-GGA was carried out for crystalline AcAsS at its relaxed geometry.

Calculated values
* formation energy without anion corrections: -1.5730 eV/atom
* energy relative to the lowest polymorph listed for this composition: 1.149 kcal/mol of atoms
* E_tot: -5.87 eV/atom

Cell lengths 9.683, 9.683, 9.683 Å; angles 155.45, 155.45, 34.99 degrees
Sites, in units of the cell vectors:
Ac  0.146  0.146  0.000
Ac  0.854  0.854  0.000
As  0.000  0.500  0.500
As  0.500  0.000  0.500
S  0.313  0.313  0.000
S  0.687  0.687  0.000



A plane-wave DFT calculation with PBE-GGA was carried out for crystalline Ac6As3S14 at its relaxed geometry.

Calculated values
* formation energy without anion corrections: -1.4284 eV/atom
* E_tot: -5.62 eV/atom

Cell lengths 10.687, 10.687, 6.129 Å; angles 90.00, 90.00, 120.00 degrees
Sites, in units of the cell vectors:
Ac  0.026  0.464  0.000
Ac  0.297  0.199  0.491
Ac  0.438  0.974  0.000
Ac  0.536  0.562  0.000
Ac  0.801  0.098  0.491
Ac  0.902  0.703  0.491
As  0.000  0.000  0.070
As  0.333  0.667  0.578
As  0.667  0.333  0.716
S  0.000  0.000  0.676
S  0.084  0.241  0.228
S  0.157  0.916  0.228
S  0.188  0.749  0.733
S  0.251  0.439  0.733
S  0.333  0.667  0.196
S  0.420  0.243  0.961
S  0.515  0.097  0.503
S  0.561  0.812  0.733
S  0.582  0.485  0.503
S  0.757  0.177  0.961
S  0.759  0.843  0.228
S  0.823  0.580  0.961
S  0.903  0.418  0.503



A plane-wave DFT calculation with PBE-GGA was carried out for crystalline Ac2AsS5 at its relaxed geometry.

Calculated values
* formation energy without anion corrections: -1.2084 eV/atom
* E_tot: -5.40 eV/atom

Cell lengths 6.448, 6.448, 6.448 Å; angles 115.39, 115.39, 98.18 degrees
Sites, in units of the cell vectors:
Ac  0.000  0.500  0.500
Ac  0.500  0.000  0.500
As  0.272  0.272  0.000
S  0.490  0.490  0.492
S  0.490  0.998  0.000
S  0.529  0.529  0.000
S  0.998  0.490  0.000
S  0.998  0.998  0.507



A plane-wave DFT calculation with PBE-GGA was carried out for crystalline AcAs2S at its relaxed geometry.

Calculated values
* formation energy without anion corrections: -0.8059 eV/atom
* E_tot: -5.19 eV/atom

Cell lengths 4.089, 4.089, 5.950 Å; angles 90.00, 90.00, 90.00 degrees
Sites, in units of the cell vectors:
Ac  0.000  0.000  0.000
As  0.000  0.500  0.500
As  0.500  0.000  0.500
S  0.500  0.500  0.000



A plane-wave DFT calculation with PBE-GGA was carried out for crystalline Ac3As2S at its relaxed geometry.

Calculated values
* formation energy without anion corrections: -1.6960 eV/atom
* E_tot: -5.99 eV/atom

Cell lengths 7.735, 7.735, 7.735 Å; angles 146.29, 131.65, 60.24 degrees
Sites, in units of the cell vectors:
Ac  0.000  0.000  0.000
Ac  0.334  0.334  0.000
Ac  0.666  0.666  0.000
As  0.167  0.667  0.500
As  0.833  0.333  0.500
S  0.500  0.000  0.500



A plane-wave DFT calculation with PBE-GGA was carried out for crystalline Ac2AsS at its relaxed geometry.

Calculated values
* formation energy without anion corrections: -1.4710 eV/atom
* energy relative to the lowest polymorph listed for this composition: 7.060 kcal/mol of atoms
* E_tot: -5.72 eV/atom

Cell lengths 5.362, 5.362, 5.362 Å; angles 60.00, 60.00, 60.00 degrees
Sites, in units of the cell vectors:
Ac  0.250  0.250  0.250
Ac  0.750  0.750  0.750
As  0.000  0.000  0.000
S  0.500  0.500  0.500



A plane-wave DFT calculation with PBE-GGA was carried out for crystalline Ac2As2S5 at its relaxed geometry.

Calculated values
* formation energy without anion corrections: -0.9789 eV/atom
* E_tot: -5.22 eV/atom

Cell lengths 7.689, 7.689, 8.042 Å; angles 116.89, 116.89, 37.37 degrees
Sites, in units of the cell vectors:
Ac  0.121  0.121  0.300
Ac  0.879  0.879  0.700
As  0.340  0.340  0.034
As  0.660  0.660  0.966
S  0.151  0.151  0.936
S  0.344  0.344  0.478
S  0.500  0.500  0.000
S  0.656  0.656  0.522
S  0.849  0.849  0.064



A plane-wave DFT calculation with PBE-GGA was carried out for crystalline Ac6Sb3AsS2 at its relaxed geometry.

Calculated values
* formation energy without anion corrections: -1.5110 eV/atom
* E_tot: -5.67 eV/atom

Cell lengths 10.283, 10.283, 9.183 Å; angles 102.70, 102.70, 25.93 degrees
Sites, in units of the cell vectors:
Ac  0.004  0.004  0.242
Ac  0.330  0.330  0.426
Ac  0.337  0.337  0.910
Ac  0.663  0.663  0.090
Ac  0.670  0.670  0.574
Ac  0.996  0.996  0.758
Sb  0.167  0.167  0.831
Sb  0.500  0.500  0.500
Sb  0.833  0.833  0.169
As  0.500  0.500  0.000
S  0.168  0.168  0.335
S  0.832  0.832  0.665



A plane-wave DFT calculation with PBE-GGA was carried out for crystalline Ac6Sb2As3S at its relaxed geometry.

Calculated values
* formation energy without anion corrections: -1.4799 eV/atom
* E_tot: -5.73 eV/atom

Cell lengths 10.293, 10.293, 9.220 Å; angles 103.17, 103.17, 25.82 degrees
Sites, in units of the cell vectors:
Ac  0.004  0.004  0.250
Ac  0.334  0.334  0.427
Ac  0.337  0.337  0.909
Ac  0.663  0.663  0.091
Ac  0.666  0.666  0.573
Ac  0.996  0.996  0.750
Sb  0.165  0.165  0.831
Sb  0.835  0.835  0.169
As  0.167  0.167  0.335
As  0.500  0.500  0.000
As  0.833  0.833  0.665
S  0.500  0.500  0.500



A plane-wave DFT calculation with PBE-GGA was carried out for crystalline Ac4SbAsS2 at its relaxed geometry.

Calculated values
* formation energy without anion corrections: -1.6702 eV/atom
* E_tot: -5.85 eV/atom

Cell lengths 7.719, 4.522, 7.847 Å; angles 90.00, 109.74, 90.00 degrees
Sites, in units of the cell vectors:
Ac  0.236  0.000  0.236
Ac  0.243  0.500  0.756
Ac  0.757  0.500  0.244
Ac  0.764  0.000  0.764
Sb  0.500  0.500  0.500
As  0.500  0.000  0.000
S  0.000  0.000  0.500
S  0.000  0.500  0.000



A plane-wave DFT calculation with PBE-GGA was carried out for crystalline Ac6Sb3As2S at its relaxed geometry.

Calculated values
* formation energy without anion corrections: -1.4336 eV/atom
* E_tot: -5.64 eV/atom

Cell lengths 10.375, 10.375, 9.284 Å; angles 103.04, 103.04, 25.85 degrees
Sites, in units of the cell vectors:
Ac  0.003  0.003  0.244
Ac  0.330  0.330  0.424
Ac  0.336  0.336  0.908
Ac  0.664  0.664  0.092
Ac  0.670  0.670  0.576
Ac  0.997  0.997  0.756
Sb  0.166  0.166  0.834
Sb  0.500  0.500  0.500
Sb  0.834  0.834  0.166
As  0.165  0.165  0.331
As  0.835  0.835  0.669
S  0.500  0.500  0.000



A plane-wave DFT calculation with PBE-GGA was carried out for crystalline AcSbAsS at its relaxed geometry.

Calculated values
* formation energy without anion corrections: -1.0216 eV/atom
* E_tot: -5.27 eV/atom

Cell lengths 5.317, 5.317, 8.070 Å; angles 90.00, 90.00, 90.00 degrees
Sites, in units of the cell vectors:
Ac  0.250  0.250  0.166
Ac  0.750  0.750  0.834
Sb  0.250  0.750  0.500
Sb  0.750  0.250  0.500
As  0.250  0.250  0.625
As  0.750  0.750  0.375
S  0.250  0.750  0.000
S  0.750  0.250  0.000



A plane-wave DFT calculation with PBE-GGA was carried out for crystalline AcScAsS at its relaxed geometry.

Calculated values
* formation energy without anion corrections: -1.5161 eV/atom
* E_tot: -6.32 eV/atom

Cell lengths 4.341, 4.341, 14.314 Å; angles 90.00, 90.00, 120.00 degrees
Sites, in units of the cell vectors:
Ac  0.333  0.667  0.000
Ac  0.667  0.333  0.500
Sc  0.000  0.000  0.214
Sc  0.000  0.000  0.714
As  0.333  0.667  0.638
As  0.667  0.333  0.138
S  0.000  0.000  0.385
S  0.000  0.000  0.885



A plane-wave DFT calculation with PBE-GGA was carried out for crystalline Ac6As3SeS2 at its relaxed geometry.

Calculated values
* formation energy without anion corrections: -1.7612 eV/atom
* E_tot: -5.96 eV/atom

Cell lengths 9.964, 9.964, 8.890 Å; angles 102.51, 102.51, 25.95 degrees
Sites, in units of the cell vectors:
Ac  0.001  0.001  0.256
Ac  0.331  0.331  0.914
Ac  0.333  0.333  0.417
Ac  0.667  0.667  0.583
Ac  0.669  0.669  0.086
Ac  0.999  0.999  0.744
As  0.166  0.166  0.833
As  0.500  0.500  0.500
As  0.834  0.834  0.167
Se  0.500  0.500  0.000
S  0.167  0.167  0.334
S  0.833  0.833  0.666



A plane-wave DFT calculation with PBE-GGA was carried out for crystalline Ac8AsSe4S3 at its relaxed geometry.

Calculated values
* formation energy without anion corrections: -1.8867 eV/atom
* E_tot: -5.88 eV/atom

Cell lengths 8.878, 8.878, 8.878 Å; angles 59.47, 59.47, 59.47 degrees
Sites, in units of the cell vectors:
Ac  0.241  0.747  0.747
Ac  0.244  0.244  0.244
Ac  0.253  0.253  0.759
Ac  0.253  0.759  0.253
Ac  0.747  0.241  0.747
Ac  0.747  0.747  0.241
Ac  0.756  0.756  0.756
Ac  0.759  0.253  0.253
As  0.500  0.500  0.500
Se  0.000  0.000  0.000
Se  0.000  0.500  0.500
Se  0.500  0.000  0.500
Se  0.500  0.500  0.000
S  0.000  0.000  0.500
S  0.000  0.500  0.000
S  0.500  0.000  0.000



A plane-wave DFT calculation with PBE-GGA was carried out for crystalline Ac8As3Se4S at its relaxed geometry.

Calculated values
* formation energy without anion corrections: -1.7827 eV/atom
* E_tot: -5.84 eV/atom

Cell lengths 8.978, 8.978, 8.978 Å; angles 59.81, 59.81, 59.81 degrees
Sites, in units of the cell vectors:
Ac  0.247  0.247  0.247
Ac  0.248  0.746  0.746
Ac  0.254  0.254  0.752
Ac  0.254  0.752  0.254
Ac  0.746  0.248  0.746
Ac  0.746  0.746  0.248
Ac  0.752  0.254  0.254
Ac  0.753  0.753  0.753
As  0.000  0.000  0.500
As  0.000  0.500  0.000
As  0.500  0.000  0.000
Se  0.000  0.000  0.000
Se  0.000  0.500  0.500
Se  0.500  0.000  0.500
Se  0.500  0.500  0.000
S  0.500  0.500  0.500



A plane-wave DFT calculation with PBE-GGA was carried out for crystalline Ac4AsSeS2 at its relaxed geometry.

Calculated values
* formation energy without anion corrections: -1.8574 eV/atom
* E_tot: -5.96 eV/atom

Cell lengths 7.650, 7.650, 7.650 Å; angles 131.90, 131.90, 70.38 degrees
Sites, in units of the cell vectors:
Ac  0.000  0.500  0.500
Ac  0.247  0.247  0.000
Ac  0.500  0.000  0.500
Ac  0.753  0.753  0.000
As  0.000  0.000  0.000
Se  0.500  0.500  0.000
S  0.250  0.750  0.500
S  0.750  0.250  0.500